{"formula": "AcMnReSi2", "functional": "PBE-GGA", "state": "optimized geometry", "lattice": [[-2.0809, 2.0809, 5.5030], [2.0809, -2.0809, 5.5030], [2.0809, 2.0809, -5.5030]], "species": ["Ac", "Mn", "Re", "Si", "Si"], "frac_coords": [[0.0000, 0.0000, 0.0000], [0.2500, 0.7500, 0.5000], [0.7500, 0.2500, 0.5000], [0.3662, 0.3662, 0.0000], [0.6338, 0.6338, 0.0000]], "spacegroup": "I-4m2, No. 119", "e_form_raw_mev_per_atom": -433, "final_energy_ev_per_cell": -38.74, "m_tot_mub_per_fu": 2.29}